Compound: Sr2Li3MgAs4
Source: Alexandria
Functional: GGA-PBE
Structure: relaxed

D(E_F)	0.090	states/eV per atom
energy relative to the elements	-0.875	eV/atom

a b c (Å): 4.3837 4.3837 10.9502
angles (deg): 90.00 90.00 90.00
Last column: nearest neighbours and their distance in Å.
Fractional coordinates of all 10 atoms:
Sr: 0.5000 0.0000 0.2353  6 Li 3.32-3.63, 8 As 3.37-3.38, 2 Mg 3.63
Sr: 0.0000 0.5000 0.7647  6 Li 3.32-3.63, 8 As 3.37-3.38, 2 Mg 3.63
Li: 0.0000 0.0000 0.5000  4 As 2.70
Li: 0.5000 0.0000 0.8736  5 As 2.52-2.59
Li: 0.0000 0.5000 0.1264  5 As 2.52-2.59
Mg: 0.5000 0.5000 0.5000  4 As 2.70
As: 0.5000 0.5000 0.0000  4 Li 2.59
As: 0.0000 0.0000 0.0000  4 Li 2.59
As: 0.5000 0.0000 0.6433  3 Li 2.52-2.70, 2 Mg 2.70
As: 0.0000 0.5000 0.3567  3 Li 2.52-2.70, 2 Mg 2.70